Record 1
An optimized crystal structure of BaV4N7. Source: Alexandria via LeMat-Bulk, functional PBE.

Calculated values
The calculation puts the raw formation energy at -807 meV per atom. The crystal system is orthorhombic.

Cell lengths 13.0148, 5.4242, 5.2138 Å; angles 90.00, 90.00, 90.00 degrees
Fractional coordinates of all 24 atoms:
Ba: 0.0000 0.2094 0.0000
Ba: 0.5000 0.7906 0.5000
V: 0.1240 0.6741 0.4573
V: 0.2481 0.8349 0.9360
V: 0.2519 0.1651 0.4360
V: 0.3760 0.3259 0.9573
V: 0.6240 0.3259 0.9573
V: 0.7481 0.1651 0.4360
V: 0.7519 0.8349 0.9360
V: 0.8760 0.6741 0.4573
N: 0.0000 0.7740 0.3527
N: 0.1333 0.7167 0.8004
N: 0.1400 0.3529 0.3856
N: 0.2263 0.8576 0.2897
N: 0.2737 0.1424 0.7897
N: 0.3600 0.6471 0.8856
N: 0.3667 0.2833 0.3004
N: 0.5000 0.2260 0.8527
N: 0.6333 0.2833 0.3004
N: 0.6400 0.6471 0.8856
N: 0.7263 0.1424 0.7897
N: 0.7737 0.8576 0.2897
N: 0.8600 0.3529 0.3856
N: 0.8667 0.7167 0.8004

***

Record 2
An optimized crystal structure of Th3Cd3Ag2. Source: Alexandria via LeMat-Bulk, functional PBE.

Calculated values
The crystal system is monoclinic.

Cell lengths 9.2858, 9.2858, 4.9726 Å; angles 105.41, 105.41, 29.84 degrees
Fractional coordinates of all 8 atoms:
Th: 0.0000 0.0000 0.0000
Th: 0.1389 0.1389 0.6363
Th: 0.8611 0.8611 0.3637
Cd: 0.3587 0.3587 0.8591
Cd: 0.5000 0.5000 0.5000
Cd: 0.6413 0.6413 0.1409
Ag: 0.2452 0.2452 0.2411
Ag: 0.7548 0.7548 0.7589

***

no.,spin magnetization (μB per formula unit),VASP energy (eV per atom)
1,0.232,-8.86
2,0.000,-3.91